A geometry-optimized NdSmHo5 structure. Source: Alexandria, functional PBE-GGA.

Output
Total magnetic moment = 0.00 μB/cell
E_form = 1101 meV per atom
E = -3.524 eV/atom
Space group = Immm

a b c (Å): 5.7570 8.6320 11.8020
angles (deg): 90.00 90.00 90.00
Atoms (fractional coordinates):
Nd: 0.0000 0.0000 0.0000
Nd: 0.5000 0.5000 0.5000
Sm: 0.0000 0.0000 0.5000
Sm: 0.5000 0.5000 0.0000
Ho: 0.0000 0.0000 0.2535
Ho: 0.0000 0.0000 0.7465
Ho: 0.0000 0.3207 0.5000
Ho: 0.0000 0.5000 0.0000
Ho: 0.0000 0.6793 0.5000
Ho: 0.5000 0.0000 0.5000
Ho: 0.5000 0.1793 0.0000
Ho: 0.5000 0.5000 0.2465
Ho: 0.5000 0.5000 0.7535
Ho: 0.5000 0.8207 0.0000